Entry from the Alexandria database: a relaxed NaPS2N crystal (PBE-GGA).

Cell lengths 5.147, 5.147, 5.585 Å; angles 90.00, 90.00, 90.00 degrees
Fractional positions:
1 P 0.000 0.000 0.500
2 S 0.000 0.500 0.000
3 S 0.500 0.000 0.000
4 N 0.500 0.500 0.500
5 Na 0.000 0.000 0.000


Entry from the Alexandria database: a relaxed NaPSN2 crystal (PBE-GGA).

Cell lengths 3.550, 3.550, 4.850 Å; angles 90.00, 90.00, 90.00 degrees
Fractional positions:
1 P 0.000 0.000 0.000
2 S 0.000 0.000 0.500
3 N 0.000 0.500 0.000
4 N 0.500 0.000 0.000
5 Na 0.500 0.500 0.500


| no. | raw total energy (eV/atom) |
| --- | --- |
| 1 | -2.536 |
| 2 | -4.878 |